No. 1
NaSr2Pb2 | GGA-PBEsol | relaxed

The value obtained for the total magnetization is 0.0 μB per formula unit. The calculation puts the energy relative to the elements at -43 kJ/mol of atoms.

The structure belongs to space group P4/mbm (No. 127); the cell edges are 8.606, 8.606 and 4.703 Å and the angles 90.00°, 90.00° and 90.00°. The distinct sites, in fractional coordinates, are Na at (0.000, 0.000, 0.000), Sr at (0.169, 0.331, 0.500) and Pb at (0.127, 0.627, 0.000).

***

No. 2
NaTe2Pb2 | GGA-PBEsol | relaxed

The value obtained for the total magnetization is 0.0 μB per formula unit. For the uncorrected formation energy, the calculation gives -0.24 eV/atom.

The structure belongs to space group I4/mmm (No. 139); the cell edges are 4.527, 4.527 and 16.032 Å and the angles 90.00°, 90.00° and 90.00°. The distinct sites, in fractional coordinates, are Na at (0.000, 0.000, 0.000), Te at (0.000, 0.000, 0.405) and Pb at (0.000, 0.500, 0.250).

***

No. 3
NaTe2Pb | GGA-PBEsol | relaxed

The value obtained for the total magnetization is 0.0 μB per formula unit. For the uncorrected formation energy, the calculation gives -0.42 eV/atom.

The structure belongs to space group R-3m (No. 166, hexagonal axes); the cell edges are 4.3346, 4.3346 and 23.1471 Å and the angles 90.00°, 90.00° and 120.00°. The distinct sites, in fractional coordinates, are Na at (0.0000, 0.0000, 0.0000), Te at (0.0000, 0.0000, 0.2475) and Pb at (0.0000, 0.0000, 0.5000).

***

No. 4
NaTlPb3 | GGA-PBEsol | relaxed

The value obtained for the total magnetization is 0.0 μB per formula unit. The calculation puts the energy relative to the elements at 40 kJ/mol of atoms.

The structure belongs to space group Pm-3m (No. 221); the cell edges are 5.821, 5.821 and 5.821 Å and the angles 90.00°, 90.00° and 90.00°. The distinct sites, in fractional coordinates, are Na at (0.000, 0.000, 0.000), Tl at (0.500, 0.500, 0.500) and Pb at (0.000, 0.500, 0.500).

***

No. 5
NaTl2Pb | GGA-PBEsol | relaxed

The value obtained for the total magnetization is 0.0 μB per formula unit. The calculation puts the energy relative to the elements at -8 kJ/mol of atoms.

The structure belongs to space group Fm-3m (No. 225); the cell edges are 7.628, 7.628 and 7.628 Å and the angles 90.00°, 90.00° and 90.00°. The distinct sites, in fractional coordinates, are Na at (0.000, 0.000, 0.000), Tl at (0.250, 0.250, 0.250) and Pb at (0.000, 0.000, 0.500).

***

No. 6
NaTlPb | GGA-PBEsol | relaxed

The value obtained for the total magnetization is 0.0 μB per formula unit. The calculation puts the energy relative to the elements at -11 kJ/mol of atoms.

The structure belongs to space group Cmcm (No. 63); the cell edges are 3.488, 17.131 and 5.503 Å and the angles 90.00°, 90.00° and 90.00°. The distinct sites, in fractional coordinates, are Na at (0.000, 0.111, 0.250), Tl at (0.000, 0.222, 0.750) and Pb at (0.000, 0.444, 0.250).

***

No. 7
Na2Tl2Pb | GGA-PBEsol | relaxed

The value obtained for the total magnetization is 0.0 μB per formula unit. The calculation puts the energy relative to the elements at -5 kJ/mol of atoms. The energy above the lowest structure with this stoichiometry is 0 meV per atom.

The structure belongs to space group P4/mbm (No. 127); the cell edges are 8.353, 8.353 and 3.975 Å and the angles 90.00°, 90.00° and 90.00°. The distinct sites, in fractional coordinates, are Na at (0.168, 0.332, 0.000), Tl at (0.133, 0.633, 0.500) and Pb at (0.000, 0.000, 0.500).

***

No. 8
Na2Tl2Pb | GGA-PBEsol | relaxed

The value obtained for the total magnetization is 0.0 μB per formula unit. The calculation puts the energy relative to the elements at 3 kJ/mol of atoms. The energy above the lowest structure with this stoichiometry is 89 meV per atom.

The structure belongs to space group I4/mmm (No. 139); the cell edges are 4.370, 4.370 and 14.824 Å and the angles 90.00°, 90.00° and 90.00°. The distinct sites, in fractional coordinates, are Na at (0.000, 0.500, 0.250), Tl at (0.000, 0.000, 0.098) and Pb at (0.000, 0.000, 0.500).

***

No. 9
Na2TlPbW | GGA-PBEsol | relaxed

The value obtained for the total magnetization is 3.2 μB per formula unit. The calculation puts the energy relative to the elements at 117 kJ/mol of atoms.

The structure belongs to space group P4/mmm (No. 123); the cell edges are 5.739, 5.739 and 5.305 Å and the angles 90.00°, 90.00° and 90.00°. The distinct sites, in fractional coordinates, are Na at (0.000, 0.500, 0.000), Tl at (0.000, 0.000, 0.500), Pb at (0.500, 0.500, 0.500) and W at (0.500, 0.500, 0.000).

***

No. 10
NaPbW3 | GGA-PBEsol | relaxed

The value obtained for the total magnetization is 1.0 μB per formula unit. The calculation puts the energy relative to the elements at 297 kJ/mol of atoms.

The structure belongs to space group Pm-3m (No. 221); the cell edges are 4.568, 4.568 and 4.568 Å and the angles 90.00°, 90.00° and 90.00°. The distinct sites, in fractional coordinates, are Na at (0.000, 0.000, 0.000), Pb at (0.500, 0.500, 0.500) and W at (0.000, 0.000, 0.500).

***

No. 11
Na3PbW | GGA-PBEsol | relaxed

The value obtained for the total magnetization is 4.3 μB per formula unit. The calculation puts the energy relative to the elements at 158 kJ/mol of atoms.

The structure belongs to space group Pm-3m (No. 221); the cell edges are 5.672, 5.672 and 5.672 Å and the angles 90.00°, 90.00° and 90.00°. The distinct sites, in fractional coordinates, are Na at (0.000, 0.000, 0.500), Pb at (0.000, 0.000, 0.000) and W at (0.500, 0.500, 0.500).

***

No. 12
NaYPb | GGA-PBEsol | relaxed

The value obtained for the total magnetization is 0.0 μB per formula unit. The calculation puts the energy relative to the elements at -40 kJ/mol of atoms.

The structure belongs to space group P6_3/mmc (No. 194); the cell edges are 5.3819, 5.3819 and 6.3870 Å and the angles 90.00°, 90.00° and 120.00°. The distinct sites, in fractional coordinates, are Na at (0.0000, 0.0000, 0.0000), Y at (0.3333, 0.6667, 0.2500) and Pb at (0.3333, 0.6667, 0.7500).